{"formula": "InCoO3", "functional": "GGA+U", "state": "optimized geometry", "space_group": "Pm-3m (221)", "total_energy_ev_per_atom": -5.247, "lattice_angstrom": [[-2.431, -1.842, -2.131], [2.757, -0.979, -2.299], [0.578, -3.081, 2.004]], "species": ["Co", "O", "O", "O", "In"], "fractional_positions": [[0.500, 0.500, 0.500], [0.500, 0.500, 0.000], [0.000, 0.500, 0.500], [0.500, 0.000, 0.500], [0.000, 0.000, 0.000]]}